# Pm3Tl3CrO8

Pm3Tl3CrO8 after structural relaxation (PBE with a Hubbard U, Alexandria).

The value obtained for the energy is -198.62 eV/cell. For the density of states at the Fermi level, the calculation gives 1.03 states/eV per cell.

The structure belongs to space group C2/m (No. 12); the cell edges are 12.0183, 6.9770 and 7.6717 Å and the angles 90.00°, 121.93° and 90.00°. The asymmetric unit holds Pm at (0.0000, 0.0000, 0.0000), Pm at (0.2500, 0.2500, 0.0000), Tl at (0.0000, 0.5000, 0.5000), Tl at (0.2500, 0.2500, 0.5000), Cr at (0.0000, 0.5000, 0.0000), O at (0.0179, 0.2812, 0.8362), O at (0.1975, 0.5000, 0.1620) and O at (0.2266, 0.0000, 0.1762).